VASP calculation (PBE-GGA) on an optimized crystal structure of SrCaGa.

Unit cell a=5.3346 b=5.3346 c=4.1826 alpha=90.00 beta=90.00 gamma=120.00
Space group P3m1 (No. 156)
Unique sites:
1 Sr 0.0000 0.0000 0.0000 x1
2 Ca 0.6667 0.3333 0.5106 x1
3 Ga 0.3333 0.6667 0.4224 x1

Calculated values
formation energy from the elements: -147 meV/atom

VASP calculation (PBE-GGA) on an optimized crystal structure of Ti8Al.

Unit cell a=8.757 b=8.757 c=3.994 alpha=90.00 beta=90.00 gamma=90.00
Space group I4/mmm (No. 139)
Unique sites:
1 Ti 0.000 0.334 0.000 x8
2 Ti 0.166 0.166 0.500 x8
3 Al 0.000 0.000 0.000 x2

Calculated values
formation energy from the elements: -85 meV/atom

VASP calculation (PBE-GGA) on an optimized crystal structure of NaGaBi3.

Unit cell a=6.875 b=6.694 c=6.980 alpha=90.00 beta=90.24 gamma=90.00
Space group P2_1 (No. 4)
Unique sites:
1 Na 0.236 0.000 0.248 x2
2 Ga 0.363 0.181 0.751 x2
3 Bi 0.065 0.878 0.747 x2
4 Bi 0.313 0.546 0.996 x2
5 Bi 0.316 0.547 0.504 x2

Calculated values
formation energy from the elements: -43 meV/atom
relative energy among the computed polymorphs: 0.0 meV per atom

VASP calculation (PBE-GGA) on an optimized crystal structure of MnZn2Br.

Unit cell a=4.046 b=4.046 c=9.220 alpha=90.00 beta=90.00 gamma=90.00
Space group I-4m2 (No. 119)
Unique sites:
1 Mn 0.000 0.000 0.000 x2
2 Zn 0.000 0.000 0.500 x2
3 Zn 0.000 0.500 0.750 x2
4 Br 0.000 0.500 0.250 x2

Calculated values
uncorrected formation energy: 0.363 eV/atom
relative energy among the computed polymorphs: 317.3 meV per atom

VASP calculation (PBE-GGA) on an optimized crystal structure of NaAlPb.

Unit cell a=5.278 b=9.153 c=6.137 alpha=90.00 beta=90.00 gamma=90.00
Space group Cmcm (No. 63)
Unique sites:
1 Na 0.000 0.168 0.250 x4
2 Al 0.000 0.500 0.000 x4
3 Pb 0.000 0.165 0.750 x4

Calculated values
formation energy from the elements: 161 meV/atom

VASP calculation (PBE-GGA) on an optimized crystal structure of LaAs4Pd6.

Unit cell a=7.3786 b=7.3786 c=4.1259 alpha=90.00 beta=90.00 gamma=120.00
Space group P-6m2 (No. 187)
Unique sites:
1 La 0.0000 0.0000 0.0000 x1
2 As 0.1905 0.3810 0.5000 x3
3 As 0.6667 0.3333 0.0000 x1
4 Pd 0.0714 0.5357 0.0000 x3
5 Pd 0.3991 0.1995 0.5000 x3

Calculated values
formation energy from the elements: -594 meV/atom

VASP calculation (PBE-GGA) on an optimized crystal structure of KIrPt4.

Unit cell a=7.578 b=7.578 c=7.578 alpha=90.00 beta=90.00 gamma=90.00
Space group F-43m (No. 216)
Unique sites:
1 K 0.000 0.000 0.000 x4
2 Ir 0.250 0.250 0.250 x4
3 Pt 0.125 0.125 0.625 x16

Calculated values
formation energy from the elements: 436 meV/atom

VASP calculation (PBE-GGA) on an optimized crystal structure of NaMgCd2Ru.

Unit cell a=5.221 b=5.221 c=4.786 alpha=90.00 beta=90.00 gamma=90.00
Space group P4/mmm (No. 123)
Unique sites:
1 Na 0.000 0.000 0.000 x1
2 Mg 0.500 0.500 0.500 x1
3 Cd 0.000 0.500 0.500 x2
4 Ru 0.500 0.500 0.000 x1

Calculated values
formation energy from the elements: 760 meV/atom

VASP calculation (PBE-GGA) on an optimized crystal structure of CaAuBr2.

Unit cell a=4.356 b=4.356 c=5.679 alpha=90.00 beta=90.00 gamma=90.00
Space group P4mm (No. 99)
Unique sites:
1 Ca 0.000 0.000 0.000 x1
2 Au 0.500 0.500 0.288 x1
3 Br 0.000 0.000 0.489 x1
4 Br 0.500 0.500 0.808 x1

Calculated values
uncorrected formation energy: -0.888 eV/atom
relative energy among the computed polymorphs: 107.6 meV per atom

VASP calculation (PBE-GGA) on an optimized crystal structure of La3Cd3Au8.

Unit cell a=4.635 b=9.917 c=14.134 alpha=90.00 beta=90.00 gamma=90.00
Space group Immm (No. 71)
Unique sites:
1 La 0.000 0.000 0.000 x2
2 La 0.000 0.000 0.287 x4
3 Cd 0.000 0.189 0.500 x4
4 Cd 0.000 0.500 0.000 x2
5 Au 0.000 0.295 0.139 x8
6 Au 0.000 0.363 0.343 x8

Calculated values
formation energy from the elements: -587 meV/atom

VASP calculation (PBE-GGA) on an optimized crystal structure of CaCdAu.

Unit cell a=4.8329 b=4.8329 c=3.6765 alpha=90.00 beta=90.00 gamma=120.00
Space group P-6m2 (No. 187)
Unique sites:
1 Ca 0.0000 0.0000 0.0000 x1
2 Cd 0.6667 0.3333 0.5000 x1
3 Au 0.3333 0.6667 0.5000 x1

Calculated values
formation energy from the elements: -550 meV/atom

VASP calculation (PBE-GGA) on an optimized crystal structure of YMg2Os.

Unit cell a=6.757 b=6.757 c=6.757 alpha=90.00 beta=90.00 gamma=90.00
Space group Fm-3m (No. 225)
Unique sites:
1 Y 0.000 0.000 0.000 x4
2 Mg 0.250 0.250 0.250 x8
3 Os 0.000 0.000 0.500 x4

Calculated values
formation energy from the elements: 165 meV/atom
relative energy among the computed polymorphs: 180.7 meV per atom